No. 1
{"formula": "Mg2IrRu", "functional": "GGA-PBE", "state": "optimized geometry", "volume_a3_per_cell": 272, "ef_kcal_per_mol_atoms": 9.92, "lattice_angstrom": [[7.206, 0.000, 0.000], [0.000, 7.206, 0.000], [0.000, 0.000, 5.229]], "species": ["Mg", "Mg", "Mg", "Mg", "Mg", "Mg", "Mg", "Mg", "Ir", "Ir", "Ir", "Ir", "Ru", "Ru", "Ru", "Ru"], "frac_coords": [[0.246, 0.250, 0.125], [0.250, 0.746, 0.375], [0.250, 0.754, 0.875], [0.254, 0.250, 0.625], [0.746, 0.750, 0.625], [0.750, 0.246, 0.875], [0.750, 0.254, 0.375], [0.754, 0.750, 0.125], [0.000, 0.000, 0.000], [0.000, 0.500, 0.250], [0.500, 0.000, 0.750], [0.500, 0.500, 0.500], [0.000, 0.000, 0.500], [0.000, 0.500, 0.750], [0.500, 0.000, 0.250], [0.500, 0.500, 0.000]]}


No. 2
{"formula": "TbHo5Tm2Zr", "functional": "GGA-PBE", "state": "optimized geometry", "volume_a3_per_cell": 555, "ef_kcal_per_mol_atoms": 3.98, "lattice_angstrom": [[2.788, -10.765, 0.000], [2.788, 10.765, 0.000], [0.000, 0.000, 9.243]], "species": ["Tb", "Tb", "Ho", "Ho", "Ho", "Ho", "Ho", "Ho", "Ho", "Ho", "Ho", "Ho", "Tm", "Tm", "Tm", "Tm", "Zr", "Zr"], "frac_coords": [[0.099, 0.901, 0.500], [0.901, 0.099, 0.000], [0.030, 0.970, 0.822], [0.105, 0.895, 0.119], [0.196, 0.804, 0.786], [0.231, 0.769, 0.400], [0.486, 0.514, 0.085], [0.514, 0.486, 0.585], [0.769, 0.231, 0.900], [0.804, 0.196, 0.286], [0.895, 0.105, 0.619], [0.970, 0.030, 0.322], [0.366, 0.634, 0.787], [0.385, 0.615, 0.394], [0.615, 0.385, 0.894], [0.634, 0.366, 0.287], [0.316, 0.684, 0.092], [0.684, 0.316, 0.592]]}


No. 3
{"formula": "ZnCo2Si", "functional": "GGA-PBE", "state": "optimized geometry", "volume_a3_per_cell": 147, "raw_formation_energy_ev_per_atom": 0.0289, "lattice_angstrom": [[2.640, 0.000, 0.000], [-1.320, 2.287, 0.000], [0.000, 0.000, 24.346]], "species": ["Zn", "Zn", "Zn", "Co", "Co", "Co", "Co", "Co", "Co", "Si", "Si", "Si"], "frac_coords": [[0.000, 0.000, 0.000], [0.333, 0.667, 0.667], [0.667, 0.333, 0.333], [0.000, 0.000, 0.248], [0.000, 0.000, 0.503], [0.333, 0.667, 0.170], [0.333, 0.667, 0.915], [0.667, 0.333, 0.581], [0.667, 0.333, 0.836], [0.000, 0.000, 0.762], [0.333, 0.667, 0.428], [0.667, 0.333, 0.095]]}


No. 4
{"formula": "RbNaHg3", "functional": "GGA-PBE", "state": "optimized geometry", "volume_a3_per_cell": 345, "de_polymorph_kcal_per_mol_atoms": 1.35, "ef_kcal_per_mol_atoms": -4.10, "lattice_angstrom": [[7.315, 0.000, 0.000], [0.000, 7.384, 0.000], [-3.623, 0.000, 6.392]], "species": ["Rb", "Rb", "Na", "Na", "Hg", "Hg", "Hg", "Hg", "Hg", "Hg"], "frac_coords": [[0.000, 0.000, 0.000], [0.500, 0.500, 0.000], [0.365, 0.000, 0.729], [0.865, 0.500, 0.729], [0.099, 0.500, 0.199], [0.485, 0.251, 0.471], [0.485, 0.749, 0.471], [0.599, 0.000, 0.199], [0.985, 0.249, 0.471], [0.985, 0.751, 0.471]]}


No. 5
{"formula": "SrAcSbTe", "functional": "GGA-PBE", "state": "optimized geometry", "volume_a3_per_cell": 547, "de_polymorph_kcal_per_mol_atoms": 5.27, "raw_formation_energy_ev_per_atom": -1.2031, "lattice_angstrom": [[8.179, 0.000, 0.000], [0.000, 8.179, 0.000], [0.000, 0.000, 8.179]], "species": ["Sr", "Sr", "Sr", "Sr", "Ac", "Ac", "Ac", "Ac", "Sb", "Sb", "Sb", "Sb", "Te", "Te", "Te", "Te"], "frac_coords": [[0.000, 0.000, 0.000], [0.000, 0.500, 0.500], [0.500, 0.000, 0.500], [0.500, 0.500, 0.000], [0.000, 0.000, 0.500], [0.000, 0.500, 0.000], [0.500, 0.000, 0.000], [0.500, 0.500, 0.500], [0.250, 0.250, 0.250], [0.250, 0.750, 0.750], [0.750, 0.250, 0.750], [0.750, 0.750, 0.250], [0.250, 0.250, 0.750], [0.250, 0.750, 0.250], [0.750, 0.250, 0.250], [0.750, 0.750, 0.750]]}


No. 6
{"formula": "LaSm2Tm7", "functional": "GGA-PBE", "state": "optimized geometry", "volume_a3_per_cell": 388, "de_polymorph_kcal_per_mol_atoms": 14.98, "ef_kcal_per_mol_atoms": 16.12, "lattice_angstrom": [[4.296, -8.232, 0.000], [4.296, 8.232, 0.000], [0.000, 0.000, 5.485]], "species": ["La", "Sm", "Sm", "Tm", "Tm", "Tm", "Tm", "Tm", "Tm", "Tm"], "frac_coords": [[0.000, 0.000, 0.000], [0.297, 0.703, 0.500], [0.703, 0.297, 0.500], [0.063, 0.290, 0.500], [0.210, 0.790, 0.000], [0.290, 0.063, 0.500], [0.500, 0.500, 0.500], [0.710, 0.937, 0.500], [0.790, 0.210, 0.000], [0.937, 0.710, 0.500]]}


No. 7
{"formula": "Re2MoRh", "functional": "GGA-PBE", "state": "optimized geometry", "volume_a3_per_cell": 60, "de_polymorph_kcal_per_mol_atoms": 0.61, "ef_kcal_per_mol_atoms": -0.27, "lattice_angstrom": [[2.767, 0.000, 0.000], [0.000, 2.767, 0.000], [0.000, 0.000, 7.843]], "species": ["Re", "Re", "Mo", "Rh"], "frac_coords": [[0.000, 0.000, 0.000], [0.500, 0.500, 0.240], [0.500, 0.500, 0.742], [0.000, 0.000, 0.491]]}


No. 8
{"formula": "UTl4Cl7", "functional": "GGA-PBE", "state": "optimized geometry", "volume_a3_per_cell": 426, "raw_formation_energy_ev_per_atom": -1.2139, "lattice_angstrom": [[10.883, -2.701, 0.000], [10.883, 2.701, 0.000], [-2.325, 0.000, 7.242]], "species": ["U", "Tl", "Tl", "Tl", "Tl", "Cl", "Cl", "Cl", "Cl", "Cl", "Cl", "Cl"], "frac_coords": [[0.000, 0.000, 0.000], [0.299, 0.299, 0.755], [0.413, 0.413, 0.368], [0.587, 0.587, 0.632], [0.701, 0.701, 0.245], [0.075, 0.075, 0.359], [0.111, 0.111, 0.899], [0.277, 0.277, 0.340], [0.500, 0.500, 0.000], [0.723, 0.723, 0.660], [0.889, 0.889, 0.101], [0.925, 0.925, 0.641]]}


No. 9
{"formula": "AcPtBr6", "functional": "GGA-PBE", "state": "optimized geometry", "volume_a3_per_cell": 268, "raw_formation_energy_ev_per_atom": -0.9844, "lattice_angstrom": [[6.758, 0.000, 0.000], [2.945, 6.160, 0.000], [3.340, -1.588, 6.439]], "species": ["Ac", "Pt", "Br", "Br", "Br", "Br", "Br", "Br"], "frac_coords": [[0.000, 0.000, 0.000], [0.000, 0.500, 0.500], [0.165, 0.548, 0.730], [0.189, 0.715, 0.273], [0.457, 0.107, 0.262], [0.543, 0.893, 0.738], [0.811, 0.285, 0.727], [0.835, 0.452, 0.270]]}


No. 10
{"formula": "Be2CrFe", "functional": "GGA-PBE", "state": "optimized geometry", "volume_a3_per_cell": 150, "de_polymorph_kcal_per_mol_atoms": 0.00, "ef_kcal_per_mol_atoms": -3.37, "lattice_angstrom": [[5.311, 0.000, 0.000], [0.000, 5.311, 0.000], [0.000, 0.000, 5.311]], "species": ["Be", "Be", "Be", "Be", "Be", "Be", "Be", "Be", "Cr", "Cr", "Cr", "Cr", "Fe", "Fe", "Fe", "Fe"], "frac_coords": [[0.000, 0.000, 0.000], [0.000, 0.500, 0.500], [0.250, 0.250, 0.250], [0.250, 0.750, 0.750], [0.500, 0.000, 0.500], [0.500, 0.500, 0.000], [0.750, 0.250, 0.750], [0.750, 0.750, 0.250], [0.000, 0.000, 0.500], [0.000, 0.500, 0.000], [0.500, 0.000, 0.000], [0.500, 0.500, 0.500], [0.250, 0.250, 0.750], [0.250, 0.750, 0.250], [0.750, 0.250, 0.250], [0.750, 0.750, 0.750]]}


No. 11
{"formula": "BeCoBTe", "functional": "GGA-PBE", "state": "optimized geometry", "volume_a3_per_cell": 115, "de_polymorph_kcal_per_mol_atoms": 1.54, "raw_formation_energy_ev_per_atom": 0.1248, "lattice_angstrom": [[5.758, 0.000, 0.000], [0.000, 3.243, 0.000], [-1.887, 0.000, 6.140]], "species": ["Be", "Be", "Co", "Co", "B", "B", "Te", "Te"], "frac_coords": [[0.000, 0.000, 0.000], [0.500, 0.500, 0.000], [0.107, 0.500, 0.820], [0.607, 0.000, 0.820], [0.303, 0.000, 0.909], [0.803, 0.500, 0.909], [0.469, 0.000, 0.405], [0.969, 0.500, 0.405]]}


No. 12
{"formula": "TcC2F", "functional": "GGA-PBE", "state": "optimized geometry", "volume_a3_per_cell": 152, "de_polymorph_kcal_per_mol_atoms": 21.17, "raw_formation_energy_ev_per_atom": 1.9645, "lattice_angstrom": [[5.342, 0.000, 0.000], [0.000, 5.342, 0.000], [0.000, 0.000, 5.342]], "species": ["Tc", "Tc", "Tc", "Tc", "C", "C", "C", "C", "C", "C", "C", "C", "F", "F", "F", "F"], "frac_coords": [[0.000, 0.000, 0.000], [0.000, 0.500, 0.500], [0.500, 0.000, 0.500], [0.500, 0.500, 0.000], [0.250, 0.250, 0.250], [0.250, 0.250, 0.750], [0.250, 0.750, 0.250], [0.250, 0.750, 0.750], [0.750, 0.250, 0.250], [0.750, 0.250, 0.750], [0.750, 0.750, 0.250], [0.750, 0.750, 0.750], [0.000, 0.000, 0.500], [0.000, 0.500, 0.000], [0.500, 0.000, 0.000], [0.500, 0.500, 0.500]]}


Number 1: N(E_F) 1.30 states/eV/atom, energy -4.90 eV/atom. Number 2: N(E_F) 1.33 states/eV/atom, energy -4.83 eV/atom. Number 3: N(E_F) 0.75 states/eV/atom, energy -5.20 eV/atom. Number 4: N(E_F) 0.44 states/eV/atom, energy -0.82 eV/atom. Number 5: N(E_F) 0.13 states/eV/atom, energy -4.47 eV/atom. Number 6: N(E_F) 1.45 states/eV/atom, energy -3.87 eV/atom. Number 7: N(E_F) 0.53 states/eV/atom, energy -10.78 eV/atom. Number 8: N(E_F) 0.59 states/eV/atom, energy -4.02 eV/atom. Number 9: N(E_F) 0.14 states/eV/atom, energy -3.51 eV/atom. Number 10: N(E_F) 0.11 states/eV/atom, energy -6.53 eV/atom. Number 11: N(E_F) 0.41 states/eV/atom, energy -5.04 eV/atom. Number 12: N(E_F) 1.08 states/eV/atom, energy -5.71 eV/atom.